The following is a DFT calculation (PBE) of crystalline BaNaHg2Cl8 at its relaxed geometry.

Values from the calculation:
uncorrected formation energy: -13.56 eV/f.u.
DOS(E_F): 1.44 states/eV per atom
VASP energy: -32.18 eV for the cell shown
volume: 29.86 A^3/atom

Unit cell a=7.064 b=7.064 c=8.747 alpha=113.81 beta=113.81 gamma=90.00
Sites, in units of the cell vectors:
Ba: 0.750 0.250 0.500
Na: 0.000 0.000 0.000
Hg: 0.500 0.500 0.000
Hg: 0.250 0.750 0.500
Cl: 0.756 0.846 0.153
Cl: 0.397 0.308 0.153
Cl: 0.603 0.671 0.668
Cl: 0.065 0.997 0.668
Cl: 0.003 0.397 0.332
Cl: 0.329 0.935 0.332
Cl: 0.154 0.603 0.847
Cl: 0.692 0.244 0.847